A plane-wave DFT calculation with PBE with a Hubbard U was carried out for Mn2NbTcO after structural relaxation.

a = 4.097 Å, b = 4.097 Å, c = 4.370 Å
α = 90.00°, β = 90.00°, γ = 90.00°
Fractional positions:
Mn 0.000 0.500 0.000
Mn 0.500 0.000 0.000
Nb 0.000 0.000 0.500
Tc 0.500 0.500 0.500
O 0.000 0.000 0.000

Results
Total DFT energy (no corrections), eV per atom: -8.241
V, Å³ per atom: 14.67
Total moment, μB/f.u.: 8.538
Space group: P4/mmm, No. 123